Y3GeOs: PBEsol geometry, meta-GGA SCAN.

- energy relative to the elements (meV per atom) = -115

```
data_Y3GeOs
_space_group_name_H-M_alt 'P m -3 m'
_space_group_IT_number 221
_space_group_name_Hall '-P 4 2 3'
_cell_length_a 5.226
_cell_length_b 5.226
_cell_length_c 5.226
_cell_angle_alpha 90.00
_cell_angle_beta 90.00
_cell_angle_gamma 90.00
loop_
_atom_site_label
_atom_site_fract_x
_atom_site_fract_y
_atom_site_fract_z
Y1 0.000 0.000 0.500
Ge1 0.500 0.500 0.500
Os1 0.000 0.000 0.000
```


GeP3Pb: PBEsol geometry, meta-GGA SCAN.

- energy relative to the elements (meV per atom) = 809

```
data_GeP3Pb
_space_group_name_H-M_alt 'P m -3 m'
_space_group_IT_number 221
_space_group_name_Hall '-P 4 2 3'
_cell_length_a 4.727
_cell_length_b 4.727
_cell_length_c 4.727
_cell_angle_alpha 90.00
_cell_angle_beta 90.00
_cell_angle_gamma 90.00
loop_
_atom_site_label
_atom_site_fract_x
_atom_site_fract_y
_atom_site_fract_z
Ge1 0.000 0.000 0.000
P1 0.000 0.000 0.500
Pb1 0.500 0.500 0.500
```


Ge2PPdPb: PBEsol geometry, meta-GGA SCAN.

- energy relative to the elements (meV per atom) = 745

```
data_Ge2PPdPb
_space_group_name_H-M_alt 'P 4/m m m'
_space_group_IT_number 123
_space_group_name_Hall '-P 4 2'
_cell_length_a 4.528
_cell_length_b 4.528
_cell_length_c 5.490
_cell_angle_alpha 90.00
_cell_angle_beta 90.00
_cell_angle_gamma 90.00
loop_
_atom_site_label
_atom_site_fract_x
_atom_site_fract_y
_atom_site_fract_z
Ge1 0.000 0.500 0.000
P1 0.000 0.000 0.000
Pd1 0.500 0.500 0.500
Pb1 0.000 0.000 0.500
```


GePPt3: PBEsol geometry, meta-GGA SCAN.

- energy relative to the elements (meV per atom) = 859

```
data_GePPt3
_space_group_name_H-M_alt 'P m -3 m'
_space_group_IT_number 221
_space_group_name_Hall '-P 4 2 3'
_cell_length_a 4.572
_cell_length_b 4.572
_cell_length_c 4.572
_cell_angle_alpha 90.00
_cell_angle_beta 90.00
_cell_angle_gamma 90.00
loop_
_atom_site_label
_atom_site_fract_x
_atom_site_fract_y
_atom_site_fract_z
Ge1 0.000 0.000 0.000
P1 0.500 0.500 0.500
Pt1 0.000 0.000 0.500
```


RbGeP2Rh: PBEsol geometry, meta-GGA SCAN.

- energy relative to the elements (meV per atom) = 594

```
data_RbGeP2Rh
_space_group_name_H-M_alt 'P 4/m m m'
_space_group_IT_number 123
_space_group_name_Hall '-P 4 2'
_cell_length_a 4.859
_cell_length_b 4.859
_cell_length_c 4.682
_cell_angle_alpha 90.00
_cell_angle_beta 90.00
_cell_angle_gamma 90.00
loop_
_atom_site_label
_atom_site_fract_x
_atom_site_fract_y
_atom_site_fract_z
Rb1 0.000 0.000 0.000
Ge1 0.500 0.500 0.500
P1 0.000 0.500 0.500
Rh1 0.500 0.500 0.000
```


Rb4GeP4S12: PBEsol geometry, meta-GGA SCAN.

- uncorrected formation energy (meV per atom) = -811

```
data_Rb4GeP4S12
_space_group_name_H-M_alt 'C 1 2/c 1'
_space_group_IT_number 15
_cell_length_a 12.219
_cell_length_b 8.097
_cell_length_c 23.521
_cell_angle_alpha 90.00
_cell_angle_beta 100.28
_cell_angle_gamma 90.00
loop_
_space_group_symop_operation_xyz
'x,y,z'
'-x,-y,-z'
'-x,y,-z+1/2'
'x,-y,z+1/2'
'x+1/2,y+1/2,z'
'-x+1/2,-y+1/2,-z'
'-x+1/2,y+1/2,-z+1/2'
'x+1/2,-y+1/2,z+1/2'
loop_
_atom_site_label
_atom_site_fract_x
_atom_site_fract_y
_atom_site_fract_z
Rb1 0.092 0.075 0.185
Rb2 0.190 0.480 0.547
Ge1 0.000 0.471 0.750
P1 0.092 0.300 0.872
P2 0.146 0.434 0.384
S1 0.040 0.305 0.421
S2 0.069 0.216 0.948
S3 0.069 0.340 0.681
S4 0.141 0.369 0.294
S5 0.186 0.174 0.827
S6 0.196 0.072 0.578
```


RbZn2GeP: PBEsol geometry, meta-GGA SCAN.

- energy relative to the elements (meV per atom) = 436

```
data_RbZn2GeP
_space_group_name_H-M_alt 'P 4/m m m'
_space_group_IT_number 123
_space_group_name_Hall '-P 4 2'
_cell_length_a 4.920
_cell_length_b 4.920
_cell_length_c 4.908
_cell_angle_alpha 90.00
_cell_angle_beta 90.00
_cell_angle_gamma 90.00
loop_
_atom_site_label
_atom_site_fract_x
_atom_site_fract_y
_atom_site_fract_z
Rb1 0.000 0.000 0.000
Zn1 0.000 0.500 0.500
Ge1 0.500 0.500 0.000
P1 0.500 0.500 0.500
```


Ge3PRh: PBEsol geometry, meta-GGA SCAN.

- energy relative to the elements (meV per atom) = 958

```
data_Ge3PRh
_space_group_name_H-M_alt 'P m -3 m'
_space_group_IT_number 221
_space_group_name_Hall '-P 4 2 3'
_cell_length_a 4.523
_cell_length_b 4.523
_cell_length_c 4.523
_cell_angle_alpha 90.00
_cell_angle_beta 90.00
_cell_angle_gamma 90.00
loop_
_atom_site_label
_atom_site_fract_x
_atom_site_fract_y
_atom_site_fract_z
Ge1 0.000 0.000 0.500
P1 0.000 0.000 0.000
Rh1 0.500 0.500 0.500
```